Entry 1:
As2RuW | the Alexandria database | PBE | optimized geometry; ΔE to the lowest computed polymorph = 220.1 meV/atom; DOS at the Fermi energy = 2.20 states/eV/f.u.; energy = -7.666 eV per atom; total magnetic moment = 0.0 μB/f.u.; formation energy = 0.9 eV per formula unit
1.0
3.082 0.000 0.000
0.000 4.242 0.000
0.000 0.000 9.540
As Ru W
4 2 2
Cartesian
0.000 0.000 0.000 As
0.000 2.121 2.132 As
1.541 0.000 6.902 As
1.541 2.121 4.770 As
0.000 2.121 6.818 Ru
1.541 0.000 2.048 Ru
0.000 0.000 4.605 W
1.541 2.121 9.375 W

Entry 2:
AsRu4W | the Alexandria database | PBE | optimized geometry; DOS at the Fermi energy = 7.65 states/eV/f.u.; energy = -8.484 eV per atom; total magnetic moment = 0.0 μB/f.u.; formation energy = 3.8 eV per formula unit
1.0
0.000 3.600 3.600
3.600 0.000 3.600
3.600 3.600 0.000
As Ru W
1 4 1
Cartesian
0.000 0.000 0.000 As
4.500 2.701 2.701 Ru
2.701 4.500 2.701 Ru
2.701 2.701 4.500 Ru
4.500 4.500 4.500 Ru
1.800 1.800 1.800 W